[1]
The following is a DFT calculation (PBEsol) of NaIN3 after structural relaxation.

## Properties
V = 93.9 Å³/cell
Energy = -3.074 eV per atom
E_form (uncorrected) = 2.6751 eV per atom
DOS at the Fermi energy = 0.947 states/eV/atom
Mass density = 3.40 g/cm³
Spin magnetization = 7.29 μB per cell

Cell lengths 4.545, 4.545, 4.545 Å; angles 90.00, 90.00, 90.00 degrees
Site moments in Bohr magnetons follow the coordinates.
Fractional coordinates of all 5 atoms:
Na1 0.000 0.000 0.000  0.02
N1 0.000 0.000 0.500  1.58
N2 0.500 0.000 0.000  1.58
N3 0.000 0.500 0.000  1.58
I1 0.500 0.500 0.500  0.20

---

[2]
The following is a DFT calculation (PBEsol) of NaNd4I7N2 after structural relaxation.

## Properties
V = 1794.5 Å³/cell
Energy = -5.172 eV per atom
E_form (uncorrected) = -1.4946 eV per atom
DOS at the Fermi energy = 0.000 states/eV/atom
Mass density = 5.61 g/cm³
Spin magnetization = 0.00 μB per cell

Cell lengths 10.805, 11.864, 13.998 Å; angles 90.00, 90.00, 90.00 degrees
Fractional coordinates of all 56 atoms:
Na1 0.053 0.258 0.901
Na2 0.553 0.758 0.599
Na3 0.947 0.758 0.099
Na4 0.447 0.258 0.401
I1 0.398 0.833 0.768
I2 0.176 0.115 0.052
I3 0.147 0.464 0.018
I4 0.102 0.833 0.268
I5 0.824 0.615 0.948
I6 0.602 0.333 0.232
I7 0.428 0.041 0.251
I8 0.853 0.964 0.982
I9 0.130 0.592 0.729
I10 0.184 0.793 0.975
I11 0.324 0.115 0.552
I12 0.816 0.293 0.025
I13 0.687 0.801 0.207
I14 0.813 0.801 0.707
I15 0.072 0.041 0.751
I16 0.187 0.301 0.293
I17 0.928 0.541 0.249
I18 0.676 0.615 0.448
I19 0.572 0.541 0.749
I20 0.370 0.592 0.229
I21 0.630 0.092 0.771
I22 0.353 0.464 0.518
I23 0.870 0.092 0.271
I24 0.316 0.793 0.475
I25 0.684 0.293 0.525
I26 0.898 0.333 0.732
I27 0.647 0.964 0.482
I28 0.313 0.301 0.793
Nd1 0.126 0.583 0.415
Nd2 0.892 0.560 0.588
Nd3 0.392 0.060 0.912
Nd4 0.087 0.824 0.604
Nd5 0.376 0.318 0.087
Nd6 0.913 0.324 0.396
Nd7 0.608 0.560 0.088
Nd8 0.108 0.060 0.412
Nd9 0.374 0.583 0.915
Nd10 0.624 0.818 0.913
Nd11 0.413 0.824 0.104
Nd12 0.587 0.324 0.896
Nd13 0.626 0.083 0.085
Nd14 0.874 0.083 0.585
Nd15 0.124 0.318 0.587
Nd16 0.876 0.818 0.413
N1 0.014 0.447 0.496
N2 0.495 0.196 0.996
N3 0.514 0.947 0.004
N4 0.995 0.696 0.504
N5 0.505 0.696 0.004
N6 0.986 0.947 0.504
N7 0.486 0.447 0.996
N8 0.005 0.196 0.496

---

[3]
The following is a DFT calculation (PBEsol) of NaI2NO after structural relaxation.

## Properties
V = 152.2 Å³/cell
Energy = -2.340 eV per atom
E_form (uncorrected) = 1.4014 eV per atom
DOS at the Fermi energy = 0.714 states/eV/atom
Mass density = 3.35 g/cm³
Spin magnetization = 6.01 μB per cell

Cell lengths 4.552, 5.782, 5.782 Å; angles 90.00, 90.00, 90.00 degrees
Site moments in Bohr magnetons follow the coordinates.
Fractional coordinates of all 5 atoms:
I1 0.000 0.500 0.000  0.50
I2 0.000 0.000 0.500  0.50
N1 0.500 0.000 0.000  1.79
O1 0.500 0.500 0.500  1.48
Na1 0.000 0.000 0.000  0.01

---

[4]
The following is a DFT calculation (PBEsol) of NaINO2 after structural relaxation.

## Properties
V = 69.2 Å³/cell
Energy = -3.074 eV per atom
E_form (uncorrected) = 1.3647 eV per atom
DOS at the Fermi energy = 0.984 states/eV/atom
Mass density = 4.70 g/cm³
Spin magnetization = 2.82 μB per cell

Cell lengths 4.084, 4.084, 4.149 Å; angles 90.00, 90.00, 90.00 degrees
Site moments in Bohr magnetons follow the coordinates.
Fractional coordinates of all 5 atoms:
Na1 0.000 0.000 0.000  0.03
I1 0.500 0.500 0.500  -0.08
O1 0.000 0.500 0.000  0.45
O2 0.500 0.000 0.000  0.45
N1 0.000 0.000 0.500  1.30

---

[5]
The following is a DFT calculation (PBEsol) of NaPbIN2 after structural relaxation.

## Properties
V = 128.4 Å³/cell
Energy = -3.837 eV per atom
E_form (uncorrected) = 1.0063 eV per atom
DOS at the Fermi energy = 0.462 states/eV/atom
Mass density = 4.98 g/cm³
Spin magnetization = 2.35 μB per cell

Cell lengths 4.403, 4.403, 6.623 Å; angles 90.00, 90.00, 90.00 degrees
Site moments in Bohr magnetons follow the coordinates.
Fractional coordinates of all 5 atoms:
N1 0.000 0.500 0.000  0.83
N2 0.500 0.000 0.000  0.83
I1 0.000 0.000 0.500  0.00
Na1 0.500 0.500 0.500  0.00
Pb1 0.000 0.000 0.000  -0.07

---

[6]
The following is a DFT calculation (PBEsol) of NaPr4I7N2 after structural relaxation.

## Properties
V = 1813.5 Å³/cell
Energy = -5.170 eV per atom
E_form (uncorrected) = -1.4877 eV per atom
DOS at the Fermi energy = 0.000 states/eV/atom
Mass density = 5.50 g/cm³
Spin magnetization = 0.00 μB per cell

Cell lengths 10.830, 11.939, 14.026 Å; angles 90.00, 90.00, 90.00 degrees
Fractional coordinates of all 56 atoms:
I1 0.074 0.038 0.752
I2 0.574 0.538 0.748
I3 0.146 0.461 0.018
I4 0.870 0.086 0.271
I5 0.426 0.038 0.252
I6 0.397 0.829 0.766
I7 0.103 0.829 0.266
I8 0.326 0.112 0.553
I9 0.630 0.086 0.771
I10 0.817 0.290 0.027
I11 0.854 0.961 0.982
I12 0.317 0.790 0.473
I13 0.603 0.329 0.234
I14 0.926 0.538 0.248
I15 0.174 0.112 0.053
I16 0.183 0.790 0.973
I17 0.130 0.586 0.729
I18 0.687 0.799 0.207
I19 0.187 0.299 0.293
I20 0.683 0.290 0.527
I21 0.813 0.799 0.707
I22 0.313 0.299 0.793
I23 0.370 0.586 0.229
I24 0.354 0.461 0.518
I25 0.674 0.612 0.447
I26 0.646 0.961 0.482
I27 0.826 0.612 0.947
I28 0.897 0.329 0.734
Pr1 0.911 0.320 0.395
Pr2 0.127 0.579 0.414
Pr3 0.373 0.579 0.914
Pr4 0.111 0.056 0.412
Pr5 0.124 0.315 0.588
Pr6 0.589 0.320 0.895
Pr7 0.876 0.815 0.412
Pr8 0.389 0.056 0.912
Pr9 0.627 0.079 0.086
Pr10 0.889 0.556 0.588
Pr11 0.873 0.079 0.586
Pr12 0.376 0.315 0.088
Pr13 0.624 0.815 0.912
Pr14 0.089 0.820 0.605
Pr15 0.411 0.820 0.105
Pr16 0.611 0.556 0.088
N1 0.005 0.192 0.496
N2 0.487 0.443 0.996
N3 0.513 0.943 0.004
N4 0.013 0.443 0.496
N5 0.995 0.692 0.504
N6 0.987 0.943 0.504
N7 0.505 0.692 0.004
N8 0.495 0.192 0.996
Na1 0.947 0.755 0.098
Na2 0.053 0.255 0.902
Na3 0.447 0.255 0.402
Na4 0.553 0.755 0.598

---

[7]
The following is a DFT calculation (PBEsol) of NaRuI2N after structural relaxation.

## Properties
V = 115.8 Å³/cell
Energy = -4.881 eV per atom
E_form (uncorrected) = -0.1549 eV per atom
DOS at the Fermi energy = 0.628 states/eV/atom
Mass density = 5.62 g/cm³
Spin magnetization = 0.00 μB per cell

Cell lengths 3.701, 5.594, 5.594 Å; angles 90.00, 90.00, 90.00 degrees
Fractional coordinates of all 5 atoms:
Ru1 0.000 0.000 0.000
I1 0.000 0.500 0.000
I2 0.000 0.000 0.500
N1 0.500 0.000 0.000
Na1 0.500 0.500 0.500

---

[8]
The following is a DFT calculation (PBEsol) of NaSIN2 after structural relaxation.

## Properties
V = 97.4 Å³/cell
Energy = -3.812 eV per atom
E_form (uncorrected) = 1.1091 eV per atom
DOS at the Fermi energy = 0.591 states/eV/atom
Mass density = 3.58 g/cm³
Spin magnetization = 0.57 μB per cell

Cell lengths 3.728, 3.728, 7.012 Å; angles 90.00, 90.00, 90.00 degrees
Site moments in Bohr magnetons follow the coordinates.
Fractional coordinates of all 5 atoms:
N1 0.000 0.500 0.000  0.22
N2 0.500 0.000 0.000  0.22
S1 0.000 0.000 0.000  -0.01
I1 0.000 0.000 0.500  0.00
Na1 0.500 0.500 0.500  0.00